# 1
Below is an optimized crystal structure of Hf2SeS, with properties calculated at the PBE level.

a = 3.447 Å, b = 3.447 Å, c = 7.433 Å
α = 76.59°, β = 76.59°, γ = 60.00°
Atoms (fractional coordinates):
Hf  0.081  0.081  0.758
Hf  0.253  0.253  0.241
Se  0.501  0.501  0.498
S  0.665  0.665  0.004

- total energy (eV/cell) = -32.0
- DOS(E_F) (states/eV per cell) = 1.65
- polymorph energy (0 for the lowest one) (eV per atom) = 0.0000
- raw formation energy (meV/atom) = -1124


# 2
Below is an optimized crystal structure of Li2NiOs, with properties calculated at the PBE level.

a = 4.120 Å, b = 4.120 Å, c = 4.120 Å
α = 120.00°, β = 120.00°, γ = 90.00°
Atoms (fractional coordinates):
Li  0.000  0.000  0.000
Li  0.250  0.750  0.500
Ni  0.500  0.500  0.000
Os  0.750  0.250  0.500

- total energy (eV/cell) = -19.6
- DOS(E_F) (states/eV per cell) = 1.46
- polymorph energy (0 for the lowest one) (eV per atom) = 0.2574